1.
First-principles (PBE) data for crystalline Mg8ZnNi4 at its relaxed geometry, as listed in Alexandria.

Values from the calculation:
Crystal system: tetragonal
Total moment, μB per formula unit: 0.0
ΔE_f, eV per atom: -0.0640
Volume, Å³ per cell: 445.6

Unit cell a=9.074 b=9.074 c=5.412 alpha=90.00 beta=90.00 gamma=90.00
Space group I4/mmm (No. 139)
Asymmetric unit:
Mg: 0.000 0.221 0.000
Mg: 0.000 0.316 0.500
Zn: 0.000 0.000 0.500
Ni: 0.250 0.250 0.250

---

2.
First-principles (PBE) data for crystalline NaTbCN2 at its relaxed geometry, as listed in Alexandria.

Values from the calculation:
Formation energy (no corrections), meV per atom: -382
Crystal system: monoclinic
Total moment, μB per formula unit: 0.0
Volume, Å³ per cell: 215.6

Unit cell a=6.337 b=5.283 c=7.201 alpha=90.00 beta=116.60 gamma=90.00
Space group P2/c (No. 13)
Asymmetric unit:
Na: 0.000 0.209 0.250
Tb: 0.500 0.449 0.750
C: 0.500 0.000 0.000
N: 0.449 0.223 0.441

---

3.
First-principles (PBE) data for crystalline CdFe2Se at its relaxed geometry, as listed in Alexandria.

Values from the calculation:
Formation energy (no corrections), meV per atom: 100
Crystal system: tetragonal
Total moment, μB per formula unit: 4.5
Volume, Å³ per cell: 68.0

Unit cell a=3.106 b=3.106 c=7.049 alpha=90.00 beta=90.00 gamma=90.00
Space group P4mm (No. 99)
Asymmetric unit:
Cd: 0.000 0.000 0.000
Fe: 0.000 0.000 0.423
Fe: 0.500 0.500 0.240
Se: 0.500 0.500 0.592

---

4.
First-principles (PBE) data for crystalline Zn3OsPd at its relaxed geometry, as listed in Alexandria.

Values from the calculation:
Crystal system: cubic
Total moment, μB per formula unit: 0.0
ΔE_f, eV per atom: 0.8531
Volume, Å³ per cell: 105.8

Unit cell a=4.730 b=4.730 c=4.730 alpha=90.00 beta=90.00 gamma=90.00
Space group Pm-3m (No. 221)
Asymmetric unit:
Zn: 0.000 0.000 0.500
Os: 0.000 0.000 0.000
Pd: 0.500 0.500 0.500